Entry one
Material: ScU6S8
Method: DFT, PBE
State: optimized geometry

Output
For the density of states at the Fermi level, the calculation gives 34.8 states/eV/f.u.

Structure (CIF):
```
data_ScU6S8
_space_group_name_H-M_alt 'P 1'
_space_group_IT_number 1
_cell_length_a 7.6817
_cell_length_b 7.6817
_cell_length_c 7.6817
_cell_angle_alpha 60.00
_cell_angle_beta 60.00
_cell_angle_gamma 60.00
loop_
_space_group_symop_operation_xyz
'x,y,z'
loop_
_atom_site_label
_atom_site_type_symbol
_atom_site_fract_x
_atom_site_fract_y
_atom_site_fract_z
U1 U 0.5000 0.0000 0.0000
U2 U 0.0000 0.5000 0.0000
U3 U 0.0000 0.0000 0.5000
U4 U 0.0000 0.5000 0.5000
U5 U 0.5000 0.5000 0.0000
U6 U 0.5000 0.0000 0.5000
S1 S 0.7500 0.7500 0.7500
S2 S 0.7541 0.7541 0.2459
S3 S 0.2459 0.2459 0.7541
S4 S 0.2459 0.7541 0.2459
S5 S 0.2459 0.7541 0.7541
S6 S 0.7541 0.2459 0.7541
S7 S 0.2500 0.2500 0.2500
S8 S 0.7541 0.2459 0.2459
Sc1 Sc 0.0000 0.0000 0.0000
```



Entry two
Material: ScU6S8
Method: DFT, PBE
State: optimized geometry

Output
For the density of states at the Fermi level, the calculation gives 18.9 states/eV/f.u.

Structure (CIF):
```
data_ScU6S8
_space_group_name_H-M_alt 'P 1'
_space_group_IT_number 1
_cell_length_a 7.2440
_cell_length_b 7.2440
_cell_length_c 7.2440
_cell_angle_alpha 93.51
_cell_angle_beta 93.51
_cell_angle_gamma 93.51
loop_
_space_group_symop_operation_xyz
'x,y,z'
loop_
_atom_site_label
_atom_site_type_symbol
_atom_site_fract_x
_atom_site_fract_y
_atom_site_fract_z
S1 S 0.7428 0.3364 0.1530
S2 S 0.7865 0.7865 0.7865
S3 S 0.8470 0.2572 0.6636
S4 S 0.2135 0.2135 0.2135
S5 S 0.3364 0.1530 0.7428
S6 S 0.2572 0.6636 0.8470
S7 S 0.6636 0.8470 0.2572
S8 S 0.1530 0.7428 0.3364
U1 U 0.8295 0.5889 0.4539
U2 U 0.5889 0.4539 0.8295
U3 U 0.5461 0.1705 0.4111
U4 U 0.4111 0.5461 0.1705
U5 U 0.1705 0.4111 0.5461
U6 U 0.4539 0.8295 0.5889
Sc1 Sc 0.0000 0.0000 0.0000
```



The structure with the greatest stability is entry one.